11
Lattice="2.6480 -4.4863 0.0000 2.6480 4.4863 0.0000 -1.8888 0.0000 5.4617" Properties=species:S:1:pos:R:3 comment="Na2TcNi2O6 GGA+U relaxed" volume_a3_per_fu=130 dft_energy_ev_per_atom=-5.6744 pbc="T T T"
Na 2.6480 2.9138 0.0000
Na 2.6480 -2.9138 0.0000
Tc -0.9444 0.0000 2.7309
Ni 1.7036 1.4678 2.7309
Ni 1.7036 -1.4678 2.7309
O -0.1332 1.4223 3.7973
O 0.6906 0.0000 1.6607
O -0.1332 -1.4223 3.7973
O 3.5404 1.4223 1.6644
O 2.7166 0.0000 3.8010
O 3.5404 -1.4223 1.6644